# 1
DFT (PBE) results for crystalline Mg2ICl at its relaxed geometry.

The calculation puts the uncorrected formation energy at -0.5230 eV per atom. The calculation puts the distance to the lowest polymorph of the same formula at 0.0 meV/atom.

Unit cell a=5.533 b=5.533 c=17.143 alpha=90.00 beta=90.00 gamma=90.00
Space group I-42d (No. 122)
Symmetry-distinct sites (fractional):
Mg (0.146, 0.250, 0.125) (multiplicity 8)
I (0.000, 0.000, 0.500) (multiplicity 4)
Cl (0.000, 0.000, 0.000) (multiplicity 4)

# 2
DFT (PBE) results for crystalline Cs2AlHg2Cl4 at its relaxed geometry.

The calculation puts the uncorrected formation energy at -1.2289 eV per atom.

Unit cell a=8.186 b=8.186 c=8.600 alpha=90.00 beta=90.00 gamma=90.00
Space group I4/mmm (No. 139)
Symmetry-distinct sites (fractional):
Cs (0.000, 0.500, 0.250) (multiplicity 4)
Al (0.000, 0.000, 0.000) (multiplicity 2)
Hg (0.000, 0.000, 0.325) (multiplicity 4)
Cl (0.211, 0.211, 0.000) (multiplicity 8)

# 3
DFT (PBE) results for crystalline Hf2GaCuOs at its relaxed geometry.

The energy of formation comes out at 0.991 eV per atom.

Unit cell a=4.913 b=4.913 c=4.448 alpha=90.00 beta=90.00 gamma=90.00
Space group P4/mmm (No. 123)
Symmetry-distinct sites (fractional):
Hf (0.000, 0.500, 0.000) (multiplicity 2)
Ga (0.000, 0.000, 0.000) (multiplicity 1)
Cu (0.500, 0.500, 0.500) (multiplicity 1)
Os (0.000, 0.000, 0.500) (multiplicity 1)

# 4
DFT (PBE) results for crystalline PmPuSiPd at its relaxed geometry.

The calculation puts the uncorrected formation energy at -0.4444 eV per atom.

Unit cell a=7.154 b=7.154 c=7.154 alpha=90.00 beta=90.00 gamma=90.00
Space group F-43m (No. 216)
Symmetry-distinct sites (fractional):
Pm (0.000, 0.000, 0.000) (multiplicity 4)
Pu (0.000, 0.000, 0.500) (multiplicity 4)
Si (0.250, 0.250, 0.750) (multiplicity 4)
Pd (0.250, 0.250, 0.250) (multiplicity 4)

# 5
DFT (PBE) results for crystalline BaSe8 at its relaxed geometry.

The calculation puts the uncorrected formation energy at -0.1275 eV per atom.

Unit cell a=8.533 b=8.533 c=6.990 alpha=90.00 beta=90.00 gamma=90.00
Space group I4/mmm (No. 139)
Symmetry-distinct sites (fractional):
Ba (0.000, 0.000, 0.000) (multiplicity 2)
Se (0.000, 0.366, 0.000) (multiplicity 8)
Se (0.150, 0.150, 0.500) (multiplicity 8)

# 6
DFT (PBE) results for crystalline MnCr3Pd12 at its relaxed geometry.

The energy of formation comes out at -0.108 eV per atom.

Unit cell a=3.917 b=3.917 c=15.577 alpha=90.00 beta=90.00 gamma=90.00
Space group P4/mmm (No. 123)
Symmetry-distinct sites (fractional):
Mn (0.000, 0.000, 0.000) (multiplicity 1)
Cr (0.000, 0.000, 0.251) (multiplicity 2)
Cr (0.000, 0.000, 0.500) (multiplicity 1)
Pd (0.000, 0.500, 0.126) (multiplicity 4)
Pd (0.000, 0.500, 0.375) (multiplicity 4)
Pd (0.500, 0.500, 0.000) (multiplicity 1)
Pd (0.500, 0.500, 0.251) (multiplicity 2)
Pd (0.500, 0.500, 0.500) (multiplicity 1)

# 7
DFT (PBE) results for crystalline Pm3Sn3Rh2 at its relaxed geometry.

The energy of formation comes out at -0.796 eV per atom.

Unit cell a=8.516 b=15.462 c=5.968 alpha=90.00 beta=90.00 gamma=90.00
Space group Pnma (No. 62)
Symmetry-distinct sites (fractional):
Pm (0.031, 0.112, 0.116) (multiplicity 8)
Pm (0.171, 0.250, 0.634) (multiplicity 4)
Sn (0.181, 0.750, 0.621) (multiplicity 4)
Sn (0.190, 0.034, 0.613) (multiplicity 8)
Rh (0.089, 0.610, 0.368) (multiplicity 8)

# 8
DFT (PBE) results for crystalline ScZnPdPb at its relaxed geometry.

The energy of formation comes out at -0.378 eV per atom.

Unit cell a=6.773 b=6.773 c=6.773 alpha=90.00 beta=90.00 gamma=90.00
Space group F-43m (No. 216)
Symmetry-distinct sites (fractional):
Sc (0.000, 0.000, 0.000) (multiplicity 4)
Zn (0.250, 0.250, 0.750) (multiplicity 4)
Pd (0.250, 0.250, 0.250) (multiplicity 4)
Pb (0.000, 0.000, 0.500) (multiplicity 4)